## Li4Fe3Co3Te2O16 (PBE+U)

Data for an optimized crystal structure of Li4Fe3Co3Te2O16.

The structure in CIF format:
```
data_Li4Fe3Co3Te2O16
_space_group_name_H-M_alt 'P 1'
_space_group_IT_number 1
_cell_length_a 5.9175
_cell_length_b 5.9175
_cell_length_c 9.6219
_cell_angle_alpha 91.41
_cell_angle_beta 91.41
_cell_angle_gamma 59.70
loop_
_space_group_symop_operation_xyz
'x,y,z'
loop_
_atom_site_label
_atom_site_type_symbol
_atom_site_fract_x
_atom_site_fract_y
_atom_site_fract_z
_atom_site_occupancy
Li1 Li 0.0000 0.0000 0.0000 1
Li2 Li 0.0011 0.0011 0.5023 1
Li3 Li 0.3275 0.3275 0.4242 1
Li4 Li 0.6595 0.6595 0.9256 1
Fe1 Fe 0.1690 0.1690 0.7299 1
Fe2 Fe 0.3393 0.8269 0.2285 1
Fe3 Fe 0.8269 0.3393 0.2285 1
Co1 Co 0.1700 0.6564 0.7265 1
Co2 Co 0.6564 0.1700 0.7265 1
Co3 Co 0.8276 0.8276 0.2264 1
Te1 Te 0.3304 0.3304 0.9997 1
Te2 Te 0.6644 0.6644 0.4986 1
O1 O 0.0022 0.0022 0.8080 1
O2 O 0.0049 0.0049 0.3122 1
O3 O 0.0278 0.4694 0.8662 1
O4 O 0.1680 0.1680 0.1094 1
O5 O 0.1684 0.6644 0.1030 1
O6 O 0.3238 0.3238 0.6308 1
O7 O 0.3397 0.8309 0.6049 1
O8 O 0.4694 0.0278 0.8662 1
O9 O 0.4768 0.4768 0.8678 1
O10 O 0.5025 0.9605 0.3639 1
O11 O 0.5128 0.5128 0.3593 1
O12 O 0.6550 0.6550 0.1304 1
O13 O 0.6644 0.1684 0.1030 1
O14 O 0.8309 0.3397 0.6049 1
O15 O 0.8318 0.8318 0.5997 1
O16 O 0.9605 0.5025 0.3639 1
```

Space-group type ... No. 8
Total magnetization ... 0.32 μB/atom
Theoretical density ... 5.0 g/cm³
Electronic total energy ... -5.733 eV/atom